This record from the Alexandria database describes an optimized crystal structure of RbAs2Au. The functional is GGA-PBE.

Properties
Relative energy among the computed polymorphs   0.0000 eV/atom
D(E_F)   6.82 states/eV/cell
Energy of formation   -0.096 eV per atom

Cell lengths 5.120, 5.120, 18.704 Å; angles 90.00, 90.00, 90.00 degrees
Space group I-42d (No. 122)
Asymmetric unit:
Rb 0.000 0.000 0.000 x4
As 0.049 0.250 0.625 x8
Au 0.000 0.000 0.500 x4